Record 1
Computed, not measured: crystalline TiZn3O at its relaxed geometry at the PBE level of DFT.

Raw formation energy (eV per atom): 1.25
Offset from the most stable computed form (meV/atom): 1209
Total magnetic moment (μB per cell): 0.00

Structure (extended XYZ):
```
5
Lattice="5.043 0.000 0.000 0.000 5.043 0.000 0.000 0.000 5.043" Properties=species:S:1:pos:R:3 pbc="T T T"
Ti 0.000 0.000 0.000
Zn 0.000 2.521 0.000
Zn 2.521 0.000 0.000
Zn 0.000 0.000 2.521
O 2.521 2.521 2.521
```

Record 2
Computed, not measured: crystalline TiZn2O4 at its relaxed geometry at the PBE level of DFT.

Raw formation energy (eV per atom): -2.08
Offset from the most stable computed form (meV/atom): 17
Total magnetic moment (μB per cell): 0.00

Structure (extended XYZ):
```
14
Lattice="-0.857 -3.711 -4.757 3.514 -4.318 2.479 -4.743 2.352 3.019" Properties=species:S:1:pos:R:3 pbc="T T T"
Ti -0.614 -0.983 2.749
Ti 1.328 -4.015 -1.139
O -0.093 -2.802 2.215
O 0.213 -3.946 -2.811
O -2.744 -3.446 1.392
O -0.336 -4.825 -0.354
O -2.299 -1.731 3.552
O -1.993 -2.875 -1.474
O 0.657 -2.232 -0.651
O -1.750 -0.853 1.095
Zn -1.043 -2.839 0.370
Zn -3.831 -2.136 -1.620
Zn 1.744 -3.541 2.361
Zn -0.429 -1.856 -2.378
```